# 1
Density functional theory data (PBE-GGA) for a geometry-optimized Mn5Nb structure.

Calculated values
Space group: Cmmm
VASP energy: -9.25 eV/atom
Calculated volume: 12.4 Å³ per atom

Cell: 5.5955 5.5955 3.7371 Å, 90.00 90.00 140.69°
Positions (direct):
1 Mn 0.0000 0.0000 0.0000
2 Mn 0.1868 0.8132 0.5000
3 Mn 0.3140 0.6860 0.0000
4 Mn 0.6860 0.3140 0.0000
5 Mn 0.8132 0.1868 0.5000
6 Nb 0.5000 0.5000 0.5000

# 2
Density functional theory data (PBE-GGA) for a geometry-optimized BaEr2TcN4 structure.

Calculated values
Space group: Cmcm
Raw formation energy: -1.01 eV per atom
VASP energy: -7.85 eV/atom
Calculated volume: 16.0 Å³ per atom

Cell: 6.3771 6.3771 12.0312 Å, 90.00 90.00 148.50°
Positions (direct):
1 Ba 0.0714 0.9286 0.7500
2 Ba 0.9286 0.0714 0.2500
3 Er 0.3711 0.6289 0.5412
4 Er 0.3711 0.6289 0.9588
5 Er 0.6289 0.3711 0.0412
6 Er 0.6289 0.3711 0.4588
7 Tc 0.1920 0.8080 0.2500
8 Tc 0.8080 0.1920 0.7500
9 N 0.0000 0.0000 0.0000
10 N 0.0000 0.0000 0.5000
11 N 0.2552 0.7448 0.1076
12 N 0.2552 0.7448 0.3924
13 N 0.3945 0.6055 0.7500
14 N 0.6055 0.3945 0.2500
15 N 0.7448 0.2552 0.6076
16 N 0.7448 0.2552 0.8924

# 3
Density functional theory data (PBE-GGA) for a geometry-optimized PuGa2Ni9 structure.

Calculated values
Space group: I4_1/amd
VASP energy: -6.27 eV/atom
Calculated volume: 12.9 Å³ per atom

Cell: 7.6690 7.6690 7.6690 Å, 99.81 99.81 131.23°
Positions (direct):
1 Pu 0.3750 0.6250 0.7500
2 Pu 0.6250 0.3750 0.2500
3 Ga 0.0000 0.0000 0.0000
4 Ga 0.0000 0.0000 0.5000
5 Ga 0.0000 0.5000 0.0000
6 Ga 0.5000 0.0000 0.5000
7 Ni 0.1250 0.8750 0.2500
8 Ni 0.1353 0.5556 0.3326
9 Ni 0.1353 0.8027 0.5797
10 Ni 0.1973 0.2770 0.3326
11 Ni 0.1973 0.8647 0.9203
12 Ni 0.2770 0.1973 0.8326
13 Ni 0.2770 0.4444 0.0797
14 Ni 0.4444 0.2770 0.5797
15 Ni 0.4444 0.8647 0.1674
16 Ni 0.5556 0.1353 0.8326
17 Ni 0.5556 0.7230 0.4203
18 Ni 0.7230 0.5556 0.9203
19 Ni 0.7230 0.8027 0.1674
20 Ni 0.8027 0.1353 0.0797
21 Ni 0.8027 0.7230 0.6674
22 Ni 0.8647 0.1973 0.4203
23 Ni 0.8647 0.4444 0.6674
24 Ni 0.8750 0.1250 0.7500

# 4
Density functional theory data (PBE-GGA) for a geometry-optimized W4Se structure.

Calculated values
Space group: Im-3m
Distance to the lowest polymorph of the same formula: 988 meV/atom
Raw formation energy: 1.58 eV per atom
VASP energy: -9.48 eV/atom
Calculated volume: 18.7 Å³ per atom

Cell: 4.9487 4.9487 4.9487 Å, 109.47 109.47 109.47°
Positions (direct):
1 W 0.0000 0.0000 0.5000
2 W 0.0000 0.5000 0.0000
3 W 0.5000 0.0000 0.0000
4 W 0.5000 0.5000 0.5000
5 Se 0.0000 0.0000 0.0000

# 5
Density functional theory data (PBE-GGA) for a geometry-optimized DyHo4Er6 structure.

Calculated values
Space group: I-42m
Distance to the lowest polymorph of the same formula: 330 meV/atom
VASP energy: -4.11 eV/atom
Calculated volume: 33.2 Å³ per atom

Cell: 8.4095 8.4095 8.4095 Å, 127.20 127.20 77.92°
Positions (direct):
1 Dy 0.0000 0.0000 0.0000
2 Ho 0.2559 0.2559 0.6683
3 Ho 0.4125 0.7441 0.0000
4 Ho 0.5875 0.5875 0.3317
5 Ho 0.7441 0.4125 0.0000
6 Er 0.0000 0.5000 0.5000
7 Er 0.0532 0.5770 0.0000
8 Er 0.4230 0.4230 0.4762
9 Er 0.5000 0.0000 0.5000
10 Er 0.5770 0.0532 0.0000
11 Er 0.9468 0.9468 0.5238

# 6
Density functional theory data (PBE-GGA) for a geometry-optimized TbSm2Er3S6 structure.

Calculated values
Space group: C2/m
Raw formation energy: -1.99 eV per atom
VASP energy: -6.37 eV/atom
Calculated volume: 21.3 Å³ per atom

Cell: 8.7815 8.7815 7.9038 Å, 103.65 103.65 25.67°
Positions (direct):
1 Tb 0.0000 0.0000 0.0000
2 Sm 0.3328 0.3328 0.6657
3 Sm 0.6672 0.6672 0.3343
4 Er 0.0000 0.0000 0.5000
5 Er 0.3322 0.3322 0.1668
6 Er 0.6678 0.6678 0.8332
7 S 0.1634 0.1634 0.5912
8 S 0.1675 0.1675 0.0742
9 S 0.4967 0.4967 0.2525
10 S 0.5033 0.5033 0.7475
11 S 0.8325 0.8325 0.9258
12 S 0.8366 0.8366 0.4088